## CaHgBi3 (GGA-PBE)

Data for a geometry-optimized CaHgBi3 structure.

## Properties
**Magnetic moment**: 0.0 μB per formula unit
**ΔH_f (0 K)**: -278 meV per atom
**Relative energy among the computed polymorphs**: 0 meV per atom

abc: 8.218 4.522 8.300
angles: 90.00 93.42 90.00
Element x y z (fractional)
Ca (0.237, 0.250, 0.238)
Ca (0.763, 0.750, 0.762)
Hg (0.141, 0.750, 0.945)
Hg (0.859, 0.250, 0.055)
Bi (0.062, 0.250, 0.630)
Bi (0.371, 0.750, 0.543)
Bi (0.453, 0.250, 0.869)
Bi (0.547, 0.750, 0.131)
Bi (0.629, 0.250, 0.457)
Bi (0.938, 0.750, 0.370)

---

## Ca4HgBi2 (GGA-PBE)

Data for a geometry-optimized Ca4HgBi2 structure.

## Properties
**Magnetic moment**: 0.0 μB per formula unit
**ΔH_f (0 K)**: -655 meV per atom

abc: 9.478 9.478 9.478
angles: 33.44 33.44 33.44
Element x y z (fractional)
Ca (0.124, 0.124, 0.124)
Ca (0.374, 0.374, 0.374)
Ca (0.626, 0.626, 0.626)
Ca (0.876, 0.876, 0.876)
Hg (0.000, 0.000, 0.000)
Bi (0.246, 0.246, 0.246)
Bi (0.754, 0.754, 0.754)

---

## Ca2Hg9Bi (GGA-PBE)

Data for a geometry-optimized Ca2Hg9Bi structure.

## Properties
**Magnetic moment**: 0.0 μB per formula unit
**ΔH_f (0 K)**: -237 meV per atom

abc: 4.690 4.690 14.257
angles: 90.00 90.00 90.00
Element x y z (fractional)
Ca (0.000, 0.000, 0.170)
Ca (0.000, 0.000, 0.830)
Hg (0.000, 0.500, 0.000)
Hg (0.000, 0.500, 0.328)
Hg (0.000, 0.500, 0.672)
Hg (0.500, 0.000, 0.000)
Hg (0.500, 0.000, 0.328)
Hg (0.500, 0.000, 0.672)
Hg (0.500, 0.500, 0.163)
Hg (0.500, 0.500, 0.500)
Hg (0.500, 0.500, 0.837)
Bi (0.000, 0.000, 0.500)

---

## Ca2Hg5Bi (GGA-PBE)

Data for a geometry-optimized Ca2Hg5Bi structure.

## Properties
**Magnetic moment**: 0.0 μB per formula unit
**ΔH_f (0 K)**: -394 meV per atom

abc: 6.751 13.519 4.719
angles: 90.00 90.00 90.00
Element x y z (fractional)
Ca (0.224, 0.123, 0.000)
Ca (0.276, 0.623, 0.000)
Ca (0.724, 0.377, 0.000)
Ca (0.776, 0.877, 0.000)
Hg (0.000, 0.500, 0.500)
Hg (0.056, 0.755, 0.500)
Hg (0.210, 0.372, 0.000)
Hg (0.290, 0.872, 0.000)
Hg (0.444, 0.255, 0.500)
Hg (0.500, 0.000, 0.500)
Hg (0.556, 0.745, 0.500)
Hg (0.710, 0.128, 0.000)
Hg (0.790, 0.628, 0.000)
Hg (0.944, 0.245, 0.500)
Bi (0.000, 0.000, 0.500)
Bi (0.500, 0.500, 0.500)

---

## CaHgBi3 (GGA-PBE)

Data for a geometry-optimized CaHgBi3 structure.

## Properties
**Magnetic moment**: 0.0 μB per formula unit
**ΔH_f (0 K)**: 255 meV per atom
**Relative energy among the computed polymorphs**: 532 meV per atom

abc: 5.744 5.744 5.744
angles: 90.00 90.00 90.00
Element x y z (fractional)
Ca (0.000, 0.000, 0.000)
Hg (0.500, 0.500, 0.500)
Bi (0.000, 0.500, 0.500)
Bi (0.500, 0.000, 0.500)
Bi (0.500, 0.500, 0.000)

---

## Ca4Hg2Bi5 (GGA-PBE)

Data for a geometry-optimized Ca4Hg2Bi5 structure.

## Properties
**Magnetic moment**: 0.0 μB per formula unit
**ΔH_f (0 K)**: -513 meV per atom
**Relative energy among the computed polymorphs**: 0 meV per atom

abc: 8.261 4.574 9.840
angles: 90.00 105.81 90.00
Element x y z (fractional)
Ca (0.207, 0.000, 0.419)
Ca (0.213, 0.000, 0.921)
Ca (0.787, 0.000, 0.079)
Ca (0.793, 0.000, 0.581)
Hg (0.490, 0.500, 0.146)
Hg (0.510, 0.500, 0.854)
Bi (0.128, 0.500, 0.159)
Bi (0.162, 0.500, 0.653)
Bi (0.500, 0.500, 0.500)
Bi (0.838, 0.500, 0.347)
Bi (0.872, 0.500, 0.841)

---

## Ca4Hg5Bi (GGA-PBE)

Data for a geometry-optimized Ca4Hg5Bi structure.

## Properties
**Magnetic moment**: 0.0 μB per formula unit
**ΔH_f (0 K)**: -467 meV per atom
**Relative energy among the computed polymorphs**: 53 meV per atom

abc: 3.873 3.873 18.264
angles: 90.00 90.00 90.00
Element x y z (fractional)
Ca (0.000, 0.000, 0.101)
Ca (0.000, 0.000, 0.306)
Ca (0.000, 0.000, 0.694)
Ca (0.000, 0.000, 0.899)
Hg (0.500, 0.500, 0.000)
Hg (0.500, 0.500, 0.202)
Hg (0.500, 0.500, 0.399)
Hg (0.500, 0.500, 0.601)
Hg (0.500, 0.500, 0.798)
Bi (0.000, 0.000, 0.500)

---

## Ca3Hg2Bi2 (GGA-PBE)

Data for a geometry-optimized Ca3Hg2Bi2 structure.

## Properties
**Magnetic moment**: 0.0 μB per formula unit
**ΔH_f (0 K)**: -602 meV per atom

abc: 5.309 5.309 9.651
angles: 105.94 105.94 59.99
Element x y z (fractional)
Ca (0.000, 0.000, 0.000)
Ca (0.245, 0.245, 0.734)
Ca (0.755, 0.755, 0.266)
Hg (0.128, 0.128, 0.386)
Hg (0.872, 0.872, 0.614)
Bi (0.384, 0.384, 0.154)
Bi (0.616, 0.616, 0.846)

---

## Ca3Hg2Bi (GGA-PBE)

Data for a geometry-optimized Ca3Hg2Bi structure.

## Properties
**Magnetic moment**: 0.0 μB per formula unit
**ΔH_f (0 K)**: -627 meV per atom

abc: 8.609 8.609 3.914
angles: 90.00 90.00 143.51
Element x y z (fractional)
Ca (0.000, 0.000, 0.000)
Ca (0.332, 0.668, 0.000)
Ca (0.668, 0.332, 0.000)
Hg (0.172, 0.828, 0.500)
Hg (0.828, 0.172, 0.500)
Bi (0.500, 0.500, 0.500)

---

## CaHg2Bi2 (GGA-PBE)

Data for a geometry-optimized CaHg2Bi2 structure.

## Properties
**Magnetic moment**: 0.0 μB per formula unit
**ΔH_f (0 K)**: -212 meV per atom
**Relative energy among the computed polymorphs**: 99 meV per atom

abc: 8.276 8.276 4.236
angles: 90.00 90.00 90.00
Element x y z (fractional)
Ca (0.000, 0.000, 0.000)
Ca (0.500, 0.500, 0.000)
Hg (0.126, 0.374, 0.000)
Hg (0.374, 0.874, 0.000)
Hg (0.626, 0.126, 0.000)
Hg (0.874, 0.626, 0.000)
Bi (0.178, 0.678, 0.500)
Bi (0.322, 0.178, 0.500)
Bi (0.678, 0.822, 0.500)
Bi (0.822, 0.322, 0.500)

---

## Ca2HgBi4 (GGA-PBE)

Data for a geometry-optimized Ca2HgBi4 structure.

## Properties
**Magnetic moment**: 0.0 μB per formula unit
**ΔH_f (0 K)**: -418 meV per atom

abc: 6.796 6.796 6.770
angles: 119.26 119.26 90.23
Element x y z (fractional)
Ca (0.000, 0.500, 0.000)
Ca (0.500, 0.000, 0.000)
Hg (0.000, 0.000, 0.000)
Bi (0.000, 0.000, 0.500)
Bi (0.000, 0.500, 0.500)
Bi (0.500, 0.000, 0.500)
Bi (0.500, 0.500, 0.500)

---

## Ca2HgBi2 (GGA-PBE)

Data for a geometry-optimized Ca2HgBi2 structure.

## Properties
**Magnetic moment**: 0.0 μB per formula unit
**ΔH_f (0 K)**: -520 meV per atom

abc: 9.422 9.422 3.652
angles: 90.00 90.00 90.00
Element x y z (fractional)
Ca (0.140, 0.360, 0.000)
Ca (0.360, 0.860, 0.000)
Ca (0.640, 0.140, 0.000)
Ca (0.860, 0.640, 0.000)
Hg (0.000, 0.000, 0.000)
Hg (0.500, 0.500, 0.000)
Bi (0.161, 0.661, 0.500)
Bi (0.339, 0.161, 0.500)
Bi (0.661, 0.839, 0.500)
Bi (0.839, 0.339, 0.500)

---

| no. | VASP energy (eV/atom) | mass density (Mg/m³) |
| --- | --- | --- |
| 1 | -3.067 | 9.36 |
| 2 | -2.951 | 5.62 |
| 3 | -1.121 | 11.09 |
| 4 | -1.568 | 9.96 |
| 5 | -2.535 | 7.60 |
| 6 | -3.060 | 7.46 |
| 7 | -1.806 | 8.32 |
| 8 | -2.655 | 6.98 |
| 9 | -2.375 | 7.03 |
| 10 | -2.285 | 9.83 |
| 11 | -3.251 | 8.22 |
| 12 | -2.933 | 7.16 |